No. 1
Entry from Alexandria: a geometry-optimized Hf2ReMo3 structure (PBE-GGA).

Cell lengths 5.343, 5.343, 5.343 Å; angles 59.90, 59.90, 59.90 degrees
Sites, in units of the cell vectors:
Hf 0.126 0.126 0.126
Hf 0.874 0.874 0.874
Re 0.500 0.500 0.500
Mo 0.000 0.500 0.500
Mo 0.500 0.000 0.500
Mo 0.500 0.500 0.000

Computed properties:
The calculation puts the total energy at -11.06 eV/atom. Its symmetry is R-3m (166). The crystal system is trigonal. Its calculated formation energy is -248 meV/atom. As for the volume: 108 Å³/cell.

No. 2
Entry from Alexandria: a geometry-optimized Li4Ac2Tl3In structure (PBE-GGA).

Cell lengths 4.889, 4.889, 10.710 Å; angles 90.00, 90.00, 90.00 degrees
Sites, in units of the cell vectors:
Li 0.000 0.000 0.000
Li 0.000 0.500 0.371
Li 0.500 0.000 0.629
Li 0.500 0.500 0.000
Ac 0.000 0.500 0.751
Ac 0.500 0.000 0.249
Tl 0.000 0.000 0.500
Tl 0.000 0.500 0.122
Tl 0.500 0.000 0.878
In 0.500 0.500 0.500

Computed properties:
The calculation puts the total energy at -2.85 eV/atom. Its symmetry is P-4m2 (115). The crystal system is tetragonal. Its calculated formation energy is -277 meV/atom. As for the volume: 256 Å³/cell.

No. 3
Entry from Alexandria: a geometry-optimized Pr3Tl2I2 structure (PBE-GGA).

Cell lengths 4.610, 6.184, 9.839 Å; angles 73.35, 89.91, 68.12 degrees
Sites, in units of the cell vectors:
Pr 0.000 0.000 0.000
Pr 0.212 0.579 0.718
Pr 0.788 0.421 0.282
Tl 0.333 0.334 0.077
Tl 0.667 0.666 0.923
I 0.101 0.796 0.358
I 0.899 0.204 0.642

Computed properties:
The calculation puts the total energy at -3.83 eV/atom. Its symmetry is P-1 (2). For the raw formation energy, the calculation gives -0.6595 eV per atom. The crystal system is triclinic. As for the volume: 248 Å³/cell.

No. 4
Entry from Alexandria: a geometry-optimized BeTe2 structure (PBE-GGA).

Cell lengths 5.442, 5.442, 3.009 Å; angles 90.00, 90.00, 120.00 degrees
Sites, in units of the cell vectors:
Be 0.000 0.000 0.000
Te 0.333 0.667 0.500
Te 0.667 0.333 0.500

Computed properties:
The calculation puts the total energy at -2.40 eV/atom. Its symmetry is P6/mmm (191). For the raw formation energy, the calculation gives 0.9359 eV per atom. The crystal system is hexagonal. Its energy above the most stable polymorph in this dataset is 1080 meV/atom. As for the volume: 77 Å³/cell.

No. 5
Entry from Alexandria: a geometry-optimized CePrYZr structure (PBE-GGA).

Cell lengths 7.795, 7.795, 7.795 Å; angles 90.00, 90.00, 90.00 degrees
Sites, in units of the cell vectors:
Ce 0.000 0.000 0.000
Ce 0.000 0.500 0.500
Ce 0.500 0.000 0.500
Ce 0.500 0.500 0.000
Pr 0.000 0.000 0.500
Pr 0.000 0.500 0.000
Pr 0.500 0.000 0.000
Pr 0.500 0.500 0.500
Y 0.250 0.250 0.750
Y 0.250 0.750 0.250
Y 0.750 0.250 0.250
Y 0.750 0.750 0.750
Zr 0.250 0.250 0.250
Zr 0.250 0.750 0.750
Zr 0.750 0.250 0.750
Zr 0.750 0.750 0.250

Computed properties:
The calculation puts the total energy at -6.19 eV/atom. Its symmetry is F-43m (216). The crystal system is cubic. Its calculated formation energy is 239 meV/atom. As for the volume: 474 Å³/cell.

No. 6
Entry from Alexandria: a geometry-optimized BaGa3Os structure (PBE-GGA).

Cell lengths 4.887, 4.887, 4.887 Å; angles 90.00, 90.00, 90.00 degrees
Sites, in units of the cell vectors:
Ba 0.000 0.000 0.000
Ga 0.000 0.500 0.500
Ga 0.500 0.000 0.500
Ga 0.500 0.500 0.000
Os 0.500 0.500 0.500

Computed properties:
The calculation puts the total energy at -4.84 eV/atom. Its symmetry is Pm-3m (221). The crystal system is cubic. Its energy above the most stable polymorph in this dataset is 0 meV/atom. Its calculated formation energy is -398 meV/atom. As for the volume: 117 Å³/cell.

No. 7
Entry from Alexandria: a geometry-optimized PmSm5HoTm2 structure (PBE-GGA).

Cell lengths 10.477, 10.477, 10.673 Å; angles 90.00, 90.00, 148.89 degrees
Sites, in units of the cell vectors:
Pm 0.201 0.799 0.500
Pm 0.799 0.201 0.000
Sm 0.017 0.983 0.513
Sm 0.281 0.719 0.798
Sm 0.298 0.702 0.195
Sm 0.392 0.608 0.515
Sm 0.479 0.521 0.231
Sm 0.521 0.479 0.731
Sm 0.608 0.392 0.015
Sm 0.702 0.298 0.695
Sm 0.719 0.281 0.298
Sm 0.983 0.017 0.013
Ho 0.412 0.588 0.947
Ho 0.588 0.412 0.447
Tm 0.110 0.890 0.229
Tm 0.115 0.885 0.807
Tm 0.885 0.115 0.307
Tm 0.890 0.110 0.729

Computed properties:
The calculation puts the total energy at -4.50 eV/atom. Its symmetry is Cmc2_1 (36). The crystal system is orthorhombic. Its calculated formation energy is 151 meV/atom. As for the volume: 605 Å³/cell.

No. 8
Entry from Alexandria: a geometry-optimized TiInTe3Pd structure (PBE-GGA).

Cell lengths 8.484, 3.862, 10.426 Å; angles 90.00, 111.36, 90.00 degrees
Sites, in units of the cell vectors:
Ti 0.217 0.250 0.178
Ti 0.783 0.750 0.822
In 0.224 0.750 0.714
In 0.776 0.250 0.286
Te 0.051 0.250 0.881
Te 0.234 0.250 0.446
Te 0.427 0.750 0.135
Te 0.573 0.250 0.865
Te 0.766 0.750 0.554
Te 0.949 0.750 0.119
Pd 0.419 0.750 0.389
Pd 0.581 0.250 0.611

Computed properties:
The calculation puts the total energy at -4.70 eV/atom. Its symmetry is P2_1/m (11). For the raw formation energy, the calculation gives -0.4948 eV per atom. The crystal system is monoclinic. As for the volume: 318 Å³/cell.

No. 9
Entry from Alexandria: a geometry-optimized CrPbS2 structure (PBE-GGA).

Cell lengths 3.372, 7.770, 7.836 Å; angles 66.79, 77.63, 89.73 degrees
Sites, in units of the cell vectors:
Cr 0.060 0.113 0.376
Cr 0.940 0.887 0.624
Pb 0.122 0.738 0.266
Pb 0.878 0.262 0.734
S 0.342 0.935 0.819
S 0.453 0.680 0.603
S 0.547 0.320 0.397
S 0.658 0.065 0.181

Computed properties:
The calculation puts the total energy at -5.75 eV/atom. Its symmetry is P-1 (2). For the raw formation energy, the calculation gives -0.3498 eV per atom. The crystal system is triclinic. As for the volume: 184 Å³/cell.

No. 10
Entry from Alexandria: a geometry-optimized Pu2Co2P3 structure (PBE-GGA).

Cell lengths 7.449, 7.449, 10.681 Å; angles 123.63, 123.63, 29.18 degrees
Sites, in units of the cell vectors:
Pu 0.114 0.114 0.465
Pu 0.231 0.231 0.840
Pu 0.769 0.769 0.160
Pu 0.886 0.886 0.535
Co 0.081 0.081 0.154
Co 0.458 0.458 0.174
Co 0.542 0.542 0.826
Co 0.919 0.919 0.846
P 0.102 0.102 0.962
P 0.355 0.355 0.710
P 0.433 0.433 0.362
P 0.567 0.567 0.638
P 0.645 0.645 0.290
P 0.898 0.898 0.038

Computed properties:
The calculation puts the total energy at -9.31 eV/atom. Its symmetry is C2/m (12). The crystal system is monoclinic. Its calculated formation energy is -866 meV/atom. As for the volume: 237 Å³/cell.

No. 11
Entry from Alexandria: a geometry-optimized PrDyEr2Tl4 structure (PBE-GGA).

Cell lengths 9.382, 9.382, 9.382 Å; angles 33.42, 33.42, 33.42 degrees
Sites, in units of the cell vectors:
Pr 0.000 0.000 0.000
Dy 0.500 0.500 0.500
Er 0.249 0.249 0.249
Er 0.751 0.751 0.751
Tl 0.127 0.127 0.127
Tl 0.377 0.377 0.377
Tl 0.623 0.623 0.623
Tl 0.873 0.873 0.873

Computed properties:
The calculation puts the total energy at -3.83 eV/atom. Its symmetry is R-3m (166). The crystal system is trigonal. Its calculated formation energy is -334 meV/atom. As for the volume: 223 Å³/cell.

No. 12
Entry from Alexandria: a geometry-optimized AgHgN2O structure (PBE-GGA).

Cell lengths 4.113, 4.113, 4.281 Å; angles 90.00, 90.00, 90.00 degrees
Sites, in units of the cell vectors:
Ag 0.000 0.000 0.000
Hg 0.500 0.500 0.500
N 0.000 0.500 0.000
N 0.500 0.000 0.000
O 0.000 0.000 0.500

Computed properties:
The calculation puts the total energy at -3.19 eV/atom. Its symmetry is P4/mmm (123). For the raw formation energy, the calculation gives 1.7579 eV per atom. The crystal system is tetragonal. As for the volume: 72 Å³/cell.